AlMo2W after structural relaxation, computed with GGA-PBE.

a = 5.7420 Å, b = 5.7420 Å, c = 5.7420 Å
α = 102.79°, β = 102.79°, γ = 123.87°
Last column: nearest neighbours and their distance in Å.
Fractional positions:
Al 0.0000 0.0000 0.0000  2 W 2.70, 4 Mo 2.72
Al 0.7500 0.2500 0.5000  2 W 2.70, 4 Mo 2.72
Mo 0.1444 0.6250 0.0194  2 W 2.53, 2 Mo 2.72, 2 Al 2.72
Mo 0.3750 0.3944 0.5194  2 W 2.53, 2 Mo 2.72, 2 Al 2.72
Mo 0.6056 0.1250 0.9806  2 W 2.53, 2 Mo 2.72, 2 Al 2.72
Mo 0.8750 0.8556 0.4806  2 W 2.53, 2 Mo 2.72, 2 Al 2.72
W 0.2500 0.7500 0.5000  4 Mo 2.53, 2 Al 2.70
W 0.5000 0.5000 0.0000  4 Mo 2.53, 2 Al 2.70

M_tot, μB per formula unit: 0.000
Formation energy from the elements, eV per atom: 0.78
Space-group type: I-42d
N(E_F), states/eV/f.u.: 3.7